First-principles (GGA-PBE) data for crystalline V6GaTc5 at its relaxed geometry, as listed in the Alexandria database.

```
12
Lattice="-2.136 3.046 6.403 2.136 -3.046 6.403 2.136 3.046 -6.403" Properties=species:S:1:pos:R:3 pbc="T T T"
V 2.136 1.500 -2.169
V 0.000 1.461 0.000
V 2.136 1.500 2.169
V 0.000 1.546 4.234
V 0.000 4.630 0.000
V 0.000 1.546 8.572
Ga 0.000 0.000 6.403
Tc 2.136 0.000 0.000
Tc 0.000 0.000 2.155
Tc 2.136 0.000 4.320
Tc 0.000 3.046 2.083
Tc 0.000 0.000 10.651
```

Summary:
Calculated volume ... 13.9 Å³ per atom
E ... -113.4 eV/cell
Formation energy ... -3.83 eV/f.u.


First-principles (GGA-PBE) data for crystalline ReSbMo4 at its relaxed geometry, as listed in the Alexandria database.

```
6
Lattice="0.000 3.705 3.705 3.705 0.000 3.705 3.705 3.705 0.000" Properties=species:S:1:pos:R:3 pbc="T T T"
Re 0.000 0.000 0.000
Sb 1.852 1.852 1.852
Mo 4.622 2.788 2.788
Mo 2.788 4.622 2.788
Mo 2.788 2.788 4.622
Mo 4.622 4.622 4.622
```

Summary:
Calculated volume ... 16.9 Å³ per atom
E ... -56.8 eV/cell
Raw formation energy ... 0.509 eV per atom


First-principles (GGA-PBE) data for crystalline SrTaTc2Ag at its relaxed geometry, as listed in the Alexandria database.

```
5
Lattice="4.813 0.000 0.000 0.000 4.813 0.000 0.000 0.000 5.338" Properties=species:S:1:pos:R:3 pbc="T T T"
Sr 0.000 0.000 0.000
Ta 2.406 2.406 2.669
Tc 0.000 2.406 2.669
Tc 2.406 0.000 2.669
Ag 2.406 2.406 0.000
```

Summary:
Calculated volume ... 24.7 Å³ per atom
E ... -32.3 eV/cell
Formation energy ... 4.78 eV/f.u.


First-principles (GGA-PBE) data for crystalline NaCa3Er2Te6 at its relaxed geometry, as listed in the Alexandria database.

```
12
Lattice="3.857 -6.674 0.000 3.857 6.674 0.000 -2.573 0.000 7.254" Properties=species:S:1:pos:R:3 pbc="T T T"
Na 0.000 0.000 0.000
Ca 2.571 4.490 3.627
Ca 2.571 0.000 3.627
Ca 2.571 -4.490 3.627
Er 3.857 2.234 0.000
Er 3.857 -2.234 0.000
Te 1.321 2.281 1.765
Te 0.063 0.000 5.503
Te 1.321 -2.281 1.765
Te 3.821 2.281 5.489
Te 5.079 0.000 1.751
Te 3.821 -2.281 5.489
```

Summary:
Calculated volume ... 31.1 Å³ per atom
E ... -52.7 eV/cell
Raw formation energy ... -1.447 eV per atom


First-principles (GGA-PBE) data for crystalline Ti2TeS at its relaxed geometry, as listed in the Alexandria database.

```
8
Lattice="-2.425 5.044 3.186 2.425 -5.044 3.186 2.425 5.044 -3.186" Properties=species:S:1:pos:R:3 pbc="T T T"
Ti 1.213 0.966 0.000
Ti 1.213 -1.219 4.229
Ti 1.213 6.264 1.043
Ti 1.213 4.078 3.186
Te 1.213 3.818 -0.324
Te 1.213 1.226 2.862
S 3.638 1.438 0.229
S -1.213 3.606 3.414
```

Summary:
Calculated volume ... 19.5 Å³ per atom
E ... -52.7 eV/cell
Raw formation energy ... -0.822 eV per atom


First-principles (GGA-PBE) data for crystalline ZrB at its relaxed geometry, as listed in the Alexandria database.

```
2
Lattice="0.000 2.649 2.649 2.649 0.000 2.649 2.649 2.649 0.000" Properties=species:S:1:pos:R:3 pbc="T T T"
Zr 0.000 0.000 0.000
B 1.325 1.325 1.325
```

Summary:
Calculated volume ... 18.6 Å³ per atom
E ... -14.2 eV/cell
Formation energy ... 1.04 eV/f.u.